Entry 1:
VASP calculation (PBE) on Ce2Tl2Sn after structural relaxation.

The space group is P6_3/mmc (No. 194) and the conventional cell measures 5.2691, 5.2691 and 12.4854 Å, with angles of 90.00, 90.00 and 120.00 degrees. The asymmetric unit holds Ce at (0.3333, 0.6667, 0.1083), Tl at (0.0000, 0.0000, 0.0000), Tl at (0.3333, 0.6667, 0.7500) and Sn at (0.0000, 0.0000, 0.2500).

The magnetization comes out at 4.6 μB per cell. For the relative energy among the computed polymorphs, the calculation gives 152 meV/atom. The calculation puts the uncorrected energy at -4.273 eV per atom. As for the energy of formation: -0.1519 eV/atom. The value obtained for the density of states at the Fermi level is 29.44 states/eV per cell.

Entry 2:
VASP calculation (PBE) on Ce4Tl5Sn after structural relaxation.

The space group is Pmmn (No. 59, origin choice 2) and the conventional cell measures 7.706, 9.469 and 8.275 Å, with angles of 90.00, 90.00 and 90.00 degrees. The asymmetric unit holds Ce at (0.073, 0.250, 0.180), Ce at (0.250, 0.601, 0.489), Tl at (0.052, 0.069, 0.807), Tl at (0.250, 0.750, 0.064) and Sn at (0.250, 0.250, 0.523).

The magnetization comes out at 7.4 μB per cell. The calculation puts the uncorrected energy at -3.964 eV per atom. As for the energy of formation: -0.0074 eV/atom. The value obtained for the density of states at the Fermi level is 43.67 states/eV per cell.

Entry 3:
VASP calculation (PBE) on CeTl2Sn after structural relaxation.

The space group is P4/mmm (No. 123) and the conventional cell measures 4.705, 4.705 and 4.979 Å, with angles of 90.00, 90.00 and 90.00 degrees. The asymmetric unit holds Ce at (0.000, 0.000, 0.000), Tl at (0.000, 0.500, 0.500) and Sn at (0.500, 0.500, 0.000).

The magnetization comes out at 0.9 μB per cell. For the relative energy among the computed polymorphs, the calculation gives 0 meV/atom. The calculation puts the uncorrected energy at -4.014 eV per atom. As for the energy of formation: -0.3465 eV/atom. The value obtained for the density of states at the Fermi level is 6.33 states/eV per cell.

Entry 4:
VASP calculation (PBE) on Ce6TlSn5 after structural relaxation.

The space group is Immm (No. 71) and the conventional cell measures 5.875, 6.478 and 17.629 Å, with angles of 90.00, 90.00 and 90.00 degrees. The asymmetric unit holds Ce at (0.000, 0.238, 0.000), Ce at (0.000, 0.255, 0.331), Tl at (0.000, 0.000, 0.500), Sn at (0.000, 0.000, 0.167), Sn at (0.000, 0.500, 0.164) and Sn at (0.000, 0.500, 0.500).

The magnetization comes out at 13.0 μB per cell. The calculation puts the uncorrected energy at -5.370 eV per atom. As for the energy of formation: -0.5376 eV/atom. The value obtained for the density of states at the Fermi level is 66.67 states/eV per cell.